VASP calculation (PBE-GGA) on a geometry-optimized YCdO2 structure.

extended XYZ file:
```
4
Lattice="0.771 6.581 2.164 3.977 5.284 2.203 2.607 6.420 -0.763" Properties=species:S:1:pos:R:3 pbc="T T T"
Y 3.677 9.143 1.802
O 6.533 16.242 3.201
O 0.822 2.043 0.403
Cd 0.000 0.000 0.000
```

E_form (uncorrected) (meV per atom): -2263
Total moment (μB/f.u.): 0.00
Fermi-level density of states (states/eV per cell): 1.04